# 1
Below is an optimized crystal structure of Tm2Co5Si2B, with properties calculated at the PBE level.

Cell: 9.549 9.549 2.803 Å, 90.00 90.00 90.00°
Space group P4/mbm (No. 127)
Asymmetric unit:
Tm1 0.171 0.329 0.000 x4
Co1 0.000 0.500 0.500 x2
Co2 0.049 0.818 0.500 x8
Si1 0.134 0.634 0.000 x4
B1 0.000 0.000 0.000 x2

Properties
Crystal system: tetragonal
Uncorrected energy (eV/atom): -6.4589
Total moment (μB/atom): 0.00

# 2
Below is an optimized crystal structure of AgP2Cl, with properties calculated at the PBE level.

Cell: 5.141 5.141 5.498 Å, 90.00 90.00 90.00°
Space group I4/mmm (No. 139)
Asymmetric unit:
Ag1 0.000 0.000 0.000 x2
P1 0.000 0.500 0.000 x4
Cl1 0.000 0.000 0.500 x2

Properties
Crystal system: tetragonal
Polymorph energy (0 for the lowest one) (eV per formula unit): 2.17
Total moment (μB/atom): 0.00

# 3
Below is an optimized crystal structure of Mn4IrPb, with properties calculated at the PBE level.

Cell: 6.963 6.963 6.963 Å, 90.00 90.00 90.00°
Space group F-43m (No. 216)
Asymmetric unit:
Mn1 0.124 0.124 0.376 x16
Ir1 0.250 0.250 0.750 x4
Pb1 0.000 0.000 0.000 x4

Properties
Crystal system: cubic
Formation energy from the elements (kJ/mol of atoms): 40.6
Total moment (μB/atom): 1.40

# 4
Below is an optimized crystal structure of BaSrAu4, with properties calculated at the PBE level.

Cell: 8.427 8.427 8.427 Å, 90.00 90.00 90.00°
Space group F-43m (No. 216)
Asymmetric unit:
Ba1 0.000 0.000 0.000 x4
Sr1 0.250 0.250 0.750 x4
Au1 0.124 0.124 0.376 x16

Properties
Crystal system: cubic
Formation energy from the elements (kJ/mol of atoms): -50.9
Polymorph energy (0 for the lowest one) (eV per formula unit): 1.22
Total moment (μB/atom): 0.00

What is the formula in the second record?
AgP2Cl